Entry 1:
Entry from Alexandria via LeMat-Bulk: crystalline LiHfMnSe2 at its relaxed geometry (PBE).

a = 4.654 Å, b = 4.654 Å, c = 4.108 Å
α = 90.00°, β = 90.00°, γ = 90.00°
Fractional positions:
Li  0.000  0.000  0.000
Hf  0.500  0.500  0.500
Mn  0.000  0.000  0.500
Se  0.000  0.500  0.000
Se  0.500  0.000  0.000

## Properties
The uncorrected energy comes out at -5.45 eV/atom. Its space group is P4/mmm. The value obtained for the size of the total moment is 3.48 μB per formula unit.

***

Entry 2:
Entry from Alexandria via LeMat-Bulk: crystalline Sm6Er6Tm at its relaxed geometry (PBE).

a = 6.693 Å, b = 6.693 Å, c = 11.325 Å
α = 90.00°, β = 90.00°, γ = 120.00°
Fractional positions:
Sm  0.000  0.000  0.159
Sm  0.000  0.000  0.841
Sm  0.333  0.667  0.000
Sm  0.333  0.667  0.500
Sm  0.667  0.333  0.000
Sm  0.667  0.333  0.500
Er  0.000  0.500  0.256
Er  0.000  0.500  0.744
Er  0.500  0.000  0.256
Er  0.500  0.000  0.744
Er  0.500  0.500  0.256
Er  0.500  0.500  0.744
Tm  0.000  0.000  0.500

## Properties
The uncorrected energy comes out at -4.34 eV/atom. Its space group is P6/mmm. The calculated formation energy is 0.283 eV per atom. The value obtained for the size of the total moment is 3.35 μB per formula unit.

***

Entry 3:
Entry from Alexandria via LeMat-Bulk: crystalline PaCrBi at its relaxed geometry (PBE).

a = 3.624 Å, b = 3.624 Å, c = 11.402 Å
α = 95.26°, β = 95.26°, γ = 91.16°
Fractional positions:
Pa  0.161  0.161  0.142
Pa  0.839  0.839  0.858
Cr  0.360  0.360  0.895
Cr  0.640  0.640  0.105
Bi  0.288  0.288  0.650
Bi  0.712  0.712  0.350

## Properties
The uncorrected energy comes out at -7.50 eV/atom. Its space group is C2/m. The calculated formation energy is 0.171 eV per atom. The value obtained for the size of the total moment is 0.00 μB per formula unit.

***

Entry 4:
Entry from Alexandria via LeMat-Bulk: crystalline KCdSbBr6 at its relaxed geometry (PBE).

a = 7.319 Å, b = 7.319 Å, c = 7.273 Å
α = 90.00°, β = 90.00°, γ = 120.00°
Fractional positions:
K  0.000  0.000  0.000
Cd  0.667  0.333  0.500
Sb  0.333  0.667  0.500
Br  0.372  0.002  0.724
Br  0.372  0.369  0.276
Br  0.631  0.002  0.276
Br  0.631  0.628  0.724
Br  0.998  0.369  0.724
Br  0.998  0.628  0.276

## Properties
The uncorrected energy comes out at -2.75 eV/atom. Its space group is P312. The value obtained for the size of the total moment is 0.00 μB per formula unit.

***

Entry 5:
Entry from Alexandria via LeMat-Bulk: crystalline NaTlSb2 at its relaxed geometry (PBE).

a = 5.526 Å, b = 5.526 Å, c = 5.526 Å
α = 60.09°, β = 60.09°, γ = 60.09°
Fractional positions:
Na  0.000  0.000  0.000
Tl  0.747  0.747  0.747
Sb  0.263  0.263  0.263
Sb  0.479  0.479  0.479

## Properties
The uncorrected energy comes out at -3.02 eV/atom. Its space group is R3m. The value obtained for the size of the total moment is 0.00 μB per formula unit. Its offset from the most stable computed form is 116 meV per atom.

***

Entry 6:
Entry from Alexandria via LeMat-Bulk: crystalline Tb6PbSe3S2 at its relaxed geometry (PBE).

a = 9.218 Å, b = 9.218 Å, c = 8.292 Å
α = 103.39°, β = 103.39°, γ = 25.57°
Fractional positions:
Tb  0.008  0.008  0.266
Tb  0.327  0.327  0.427
Tb  0.328  0.328  0.892
Tb  0.672  0.672  0.108
Tb  0.673  0.673  0.573
Tb  0.992  0.992  0.734
Pb  0.500  0.500  0.000
Se  0.163  0.163  0.833
Se  0.500  0.500  0.500
Se  0.837  0.837  0.167
S  0.169  0.169  0.338
S  0.831  0.831  0.662

## Properties
The uncorrected energy comes out at -5.80 eV/atom. Its space group is C2/m. The value obtained for the size of the total moment is 0.00 μB per formula unit.

***

Entry 7:
Entry from Alexandria via LeMat-Bulk: crystalline PrAgGe2 at its relaxed geometry (PBE).

a = 4.515 Å, b = 4.515 Å, c = 4.274 Å
α = 90.00°, β = 90.00°, γ = 90.00°
Fractional positions:
Pr  0.000  0.000  0.000
Ag  0.500  0.500  0.000
Ge  0.000  0.500  0.500
Ge  0.500  0.000  0.500

## Properties
The uncorrected energy comes out at -4.59 eV/atom. Its space group is P4/mmm. The calculated formation energy is -0.373 eV per atom. The value obtained for the size of the total moment is 0.00 μB per formula unit.

***

Entry 8:
Entry from Alexandria via LeMat-Bulk: crystalline ZrNbSi2Ru2 at its relaxed geometry (PBE).

a = 6.604 Å, b = 3.753 Å, c = 11.265 Å
α = 90.00°, β = 90.41°, γ = 90.00°
Fractional positions:
Zr  0.000  0.000  0.000
Zr  0.001  0.000  0.584
Zr  0.502  0.000  0.085
Nb  0.138  0.000  0.294
Nb  0.500  0.000  0.498
Nb  0.631  0.000  0.789
Si  0.210  0.500  0.130
Si  0.215  0.500  0.457
Si  0.223  0.000  0.792
Si  0.702  0.500  0.624
Si  0.707  0.500  0.953
Si  0.726  0.000  0.297
Ru  0.333  0.500  0.914
Ru  0.335  0.500  0.668
Ru  0.470  0.500  0.295
Ru  0.835  0.500  0.170
Ru  0.836  0.500  0.416
Ru  0.966  0.500  0.789

## Properties
The uncorrected energy comes out at -8.80 eV/atom. Its space group is Pm. The value obtained for the size of the total moment is 0.00 μB per formula unit.

***

Entry 9:
Entry from Alexandria via LeMat-Bulk: crystalline Y3BeN at its relaxed geometry (PBE).

a = 4.748 Å, b = 4.748 Å, c = 4.748 Å
α = 90.00°, β = 90.00°, γ = 90.00°
Fractional positions:
Y  0.000  0.000  0.500
Y  0.000  0.500  0.000
Y  0.500  0.000  0.000
Be  0.500  0.500  0.500
N  0.000  0.000  0.000

## Properties
The uncorrected energy comes out at -6.85 eV/atom. Its space group is Pm-3m. The value obtained for the size of the total moment is 0.00 μB per formula unit. Its offset from the most stable computed form is 0 meV per atom.

***

Entry 10:
Entry from Alexandria via LeMat-Bulk: crystalline KInW2 at its relaxed geometry (PBE).

a = 2.782 Å, b = 5.472 Å, c = 5.407 Å
α = 90.00°, β = 92.16°, γ = 90.00°
Fractional positions:
K  0.000  0.000  0.000
In  0.500  0.000  0.500
W  0.329  0.500  0.755
W  0.671  0.500  0.245

## Properties
The uncorrected energy comes out at -6.08 eV/atom. Its space group is P2/m. The calculated formation energy is 1.352 eV per atom. The value obtained for the size of the total moment is 0.00 μB per formula unit.

***

Entry 11:
Entry from Alexandria via LeMat-Bulk: crystalline La2YAlO at its relaxed geometry (PBE).

a = 5.054 Å, b = 5.054 Å, c = 4.752 Å
α = 90.00°, β = 90.00°, γ = 90.00°
Fractional positions:
La  0.000  0.500  0.000
La  0.500  0.000  0.000
Y  0.000  0.000  0.500
Al  0.500  0.500  0.500
O  0.000  0.000  0.000

## Properties
The uncorrected energy comes out at -6.33 eV/atom. Its space group is P4/mmm. The value obtained for the size of the total moment is 0.00 μB per formula unit.

***

Entry 12:
Entry from Alexandria via LeMat-Bulk: crystalline ErTlInTe3 at its relaxed geometry (PBE).

a = 9.422 Å, b = 4.441 Å, c = 11.545 Å
α = 90.00°, β = 104.73°, γ = 90.00°
Fractional positions:
Er  0.162  0.250  0.121
Er  0.838  0.750  0.879
Tl  0.309  0.750  0.806
Tl  0.691  0.250  0.194
In  0.458  0.750  0.368
In  0.542  0.250  0.632
Te  0.051  0.250  0.850
Te  0.265  0.250  0.405
Te  0.385  0.750  0.104
Te  0.615  0.250  0.896
Te  0.735  0.750  0.595
Te  0.949  0.750  0.150

## Properties
The uncorrected energy comes out at -3.88 eV/atom. Its space group is P2_1/m. The value obtained for the size of the total moment is 0.00 μB per formula unit.